LaTiCu2Rh: optimized geometry, PBE.

```
LaTiCu2Rh
1.0
-4.077 0.039 2.893
-2.273 -2.832 -3.164
1.675 -4.044 2.415
La Cu Rh Ti
1 2 1 1
Cartesian
0.000 0.000 0.000
0.838 -2.022 1.208
-2.038 0.020 1.447
-1.137 -1.416 -1.582
-2.337 -3.418 1.072
```

Formation energy from the elements   1.209 eV/atom
Mass density   5.75 g/cm³
Density of states at the Fermi level   1.639 states/eV per atom
Space group   No. 123
Uncorrected energy   -22.32 eV/cell